Entry 1:
This record from Alexandria via LeMat-Bulk describes an optimized crystal structure of RbTlS14. The functional is PBE.

Output
Space-group type ... Imma, No. 74
Formation energy (no corrections) ... 135 meV/atom

abc: 11.8488 11.8488 11.8488
angles: 141.13 99.45 93.28
Element x y z (fractional)
Rb 0.3101 0.0601 0.2500
Rb 0.6899 0.9399 0.7500
Tl 0.0000 0.0000 0.5000
Tl 0.0000 0.5000 0.0000
S 0.0029 0.8779 0.1250
S 0.0048 0.3757 0.6291
S 0.0167 0.3508 0.1763
S 0.0167 0.8404 0.6659
S 0.2466 0.3757 0.8709
S 0.2530 0.8779 0.3750
S 0.2862 0.5989 0.6874
S 0.2866 0.4496 0.3544
S 0.2866 0.9322 0.8371
S 0.3255 0.1596 0.6763
S 0.3255 0.6492 0.1659
S 0.4048 0.0678 0.8544
S 0.4048 0.5504 0.3371
S 0.4115 0.5989 0.8126
S 0.5885 0.4011 0.1874
S 0.5952 0.4496 0.6629
S 0.5952 0.9322 0.1456
S 0.6745 0.3508 0.8341
S 0.6745 0.8404 0.3237
S 0.7134 0.0678 0.1629
S 0.7134 0.5504 0.6456
S 0.7138 0.4011 0.3126
S 0.7470 0.1221 0.6250
S 0.7534 0.6243 0.1291
S 0.9833 0.1596 0.3341
S 0.9833 0.6492 0.8237
S 0.9952 0.6243 0.3709
S 0.9971 0.1221 0.8750



Entry 2:
This record from Alexandria via LeMat-Bulk describes an optimized crystal structure of RbTlS3. The functional is PBE.

Output
Space-group type ... P2_1, No. 4
Polymorph energy (0 for the lowest one) ... 0.0 meV per atom
Formation energy (no corrections) ... -472 meV/atom

abc: 5.3828 7.3477 8.6416
angles: 90.00 99.48 90.00
Element x y z (fractional)
Rb 0.2073 0.0000 0.3661
Rb 0.7927 0.5000 0.6339
Tl 0.4751 0.0726 0.8837
Tl 0.5249 0.5726 0.1163
S 0.0829 0.8835 0.7396
S 0.2306 0.5380 0.3366
S 0.3516 0.4111 0.8614
S 0.6484 0.9111 0.1386
S 0.7694 0.0380 0.6634
S 0.9171 0.3835 0.2604



Entry 3:
This record from Alexandria via LeMat-Bulk describes an optimized crystal structure of RbTl3S2. The functional is PBE.

Output
Space-group type ... C2/m, No. 12
Formation energy (no corrections) ... -525 meV/atom

abc: 7.8489 7.8489 14.6396
angles: 117.81 117.81 31.89
Element x y z (fractional)
Rb 0.1070 0.1070 0.2354
Rb 0.8930 0.8930 0.7646
Tl 0.1368 0.1368 0.7384
Tl 0.3755 0.3755 0.0313
Tl 0.3829 0.3829 0.5259
Tl 0.6171 0.6171 0.4741
Tl 0.6245 0.6245 0.9687
Tl 0.8632 0.8632 0.2616
S 0.2302 0.2302 0.6120
S 0.2334 0.2334 0.1123
S 0.7666 0.7666 0.8877
S 0.7698 0.7698 0.3880



Entry 4:
This record from Alexandria via LeMat-Bulk describes an optimized crystal structure of Rb5TlS4. The functional is PBE.

Output
Space-group type ... Pmmn, No. 59
Formation energy (no corrections) ... -893 meV/atom

abc: 9.8350 10.2656 7.8917
angles: 90.00 90.00 90.00
Element x y z (fractional)
Rb 0.0087 0.0546 0.2386
Rb 0.0087 0.4454 0.2386
Rb 0.2500 0.7500 0.3432
Rb 0.4913 0.0546 0.2386
Rb 0.4913 0.4454 0.2386
Rb 0.5087 0.5546 0.7614
Rb 0.5087 0.9454 0.7614
Rb 0.7500 0.2500 0.6568
Rb 0.9913 0.5546 0.7614
Rb 0.9913 0.9454 0.7614
Tl 0.2500 0.2500 0.7151
Tl 0.7500 0.7500 0.2849
S 0.0273 0.2500 0.8956
S 0.2500 0.0368 0.5312
S 0.2500 0.4632 0.5312
S 0.4727 0.2500 0.8956
S 0.5273 0.7500 0.1044
S 0.7500 0.5368 0.4688
S 0.7500 0.9632 0.4688
S 0.9727 0.7500 0.1044



Entry 5:
This record from Alexandria via LeMat-Bulk describes an optimized crystal structure of RbTl6S8. The functional is PBE.

Output
Space-group type ... R-3, No. 148
Formation energy (no corrections) ... -198 meV/atom

abc: 7.6534 7.6534 7.6534
angles: 97.87 97.87 97.87
Element x y z (fractional)
Rb 0.0000 0.0000 0.0000
Tl 0.1668 0.3035 0.6113
Tl 0.3035 0.6113 0.1668
Tl 0.3887 0.8332 0.6965
Tl 0.6113 0.1668 0.3035
Tl 0.6965 0.3887 0.8332
Tl 0.8332 0.6965 0.3887
S 0.1537 0.6152 0.8306
S 0.1694 0.8463 0.3848
S 0.3260 0.3260 0.3260
S 0.3848 0.1694 0.8463
S 0.6152 0.8306 0.1537
S 0.6740 0.6740 0.6740
S 0.8306 0.1537 0.6152
S 0.8463 0.3848 0.1694



Entry 6:
This record from Alexandria via LeMat-Bulk describes an optimized crystal structure of RbTlS5. The functional is PBE.

Output
Space-group type ... C2/c, No. 15
Formation energy (no corrections) ... -216 meV/atom

abc: 8.3791 8.3791 7.4603
angles: 106.97 106.97 79.69
Element x y z (fractional)
Rb 0.2216 0.7784 0.7500
Rb 0.7784 0.2216 0.2500
Tl 0.0000 0.5000 0.0000
Tl 0.5000 0.0000 0.5000
S 0.0615 0.1677 0.6889
S 0.1561 0.8439 0.2500
S 0.1677 0.0615 0.1889
S 0.4135 0.4871 0.3250
S 0.4871 0.4135 0.8250
S 0.5129 0.5865 0.1750
S 0.5865 0.5129 0.6750
S 0.8323 0.9385 0.8111
S 0.8439 0.1561 0.7500
S 0.9385 0.8323 0.3111